VASP calculation (PBE-GGA) on an optimized crystal structure of Ca2Tl3Hg3.

ΔE to the lowest computed polymorph in meV per atom: 0.0
Final energy in eV for the cell shown: -43.23
DOS(E_F) in states/eV per atom: 0.4060

Geometry as CIF:
```
data_Ca2Tl3Hg3
_chemical_formula_sum 'Ca6 Tl9 Hg9'
_symmetry_space_group_name_H-M 'R 3 m'
_symmetry_Int_Tables_number 160
_symmetry_space_group_name_Hall 'R 3 -2"'
_cell_length_a 5.3582
_cell_length_b 5.3582
_cell_length_c 26.2361
_cell_angle_alpha 90.00
_cell_angle_beta 90.00
_cell_angle_gamma 120.00
loop_
_atom_site_label
_atom_site_type_symbol
_atom_site_fract_x
_atom_site_fract_y
_atom_site_fract_z
Ca1 Ca 0.0000 0.0000 0.0000
Ca2 Ca 0.0000 0.0000 0.4918
Tl1 Tl 0.0000 0.0000 0.2491
Tl2 Tl 0.0000 0.0000 0.7434
Tl3 Tl 0.0000 0.0000 0.8711
Hg1 Hg 0.0000 0.0000 0.1232
Hg2 Hg 0.0000 0.0000 0.3709
Hg3 Hg 0.0000 0.0000 0.6194
```